Re3GePd | PBEsol | relaxed

Cell lengths 4.452, 4.452, 4.452 Å; angles 90.00, 90.00, 90.00 degrees
Fractional coordinates of all 5 atoms:
Ge 0.000 0.000 0.000
Re 0.500 0.000 0.000
Re 0.000 0.000 0.500
Re 0.000 0.500 0.000
Pd 0.500 0.500 0.500

Results
DOS(E_F)	7.03	states/eV/f.u.
crystal system	cubic
size of the total moment	0.000	μB/cell
formation energy	1.921	eV per atom

***

LiAsPt2 | PBEsol | relaxed

Cell lengths 3.657, 3.928, 3.928 Å; angles 90.00, 90.00, 90.00 degrees
Fractional coordinates of all 4 atoms:
Pt 0.000 0.000 0.500
Pt 0.000 0.500 0.000
As 0.500 0.500 0.500
Li 0.500 0.000 0.000

Results
DOS(E_F)	1.46	states/eV/f.u.
crystal system	tetragonal
size of the total moment	0.000	μB/cell
formation energy	-0.456	eV per atom

***

CoTeBr | PBEsol | relaxed

Cell lengths 3.580, 3.580, 6.193 Å; angles 90.00, 90.00, 120.00 degrees
Fractional coordinates of all 3 atoms:
Br 0.000 0.000 0.889
Te 0.667 0.333 0.446
Co 0.333 0.667 0.665

Results
crystal system	trigonal
size of the total moment	0.000	μB/cell

***

LaPPt2 | PBEsol | relaxed

Cell lengths 4.068, 4.185, 9.213 Å; angles 90.00, 102.75, 90.00 degrees
Fractional coordinates of all 8 atoms:
Pt 0.758 0.750 0.515
La 0.895 0.250 0.790
P 0.325 0.750 0.650
Pt 0.453 0.750 0.907
Pt 0.547 0.250 0.093
La 0.105 0.750 0.210
P 0.675 0.250 0.350
Pt 0.242 0.250 0.485

Results
DOS(E_F)	2.56	states/eV/f.u.
crystal system	orthorhombic
size of the total moment	0.000	μB/cell
formation energy	-1.062	eV per atom

***

ZrScIn3 | PBEsol | relaxed

Cell lengths 5.174, 5.174, 5.174 Å; angles 90.00, 90.00, 90.00 degrees
Fractional coordinates of all 5 atoms:
In 0.000 0.000 0.500
In 0.000 0.500 0.000
Sc 0.000 0.000 0.000
In 0.500 0.000 0.000
Zr 0.500 0.500 0.500

Results
DOS(E_F)	5.17	states/eV/f.u.
crystal system	cubic
size of the total moment	0.161	μB/cell
formation energy	0.766	eV per atom

***

Cs4ZrO4 | PBEsol | relaxed

Cell lengths 7.110, 7.096, 19.746 Å; angles 90.00, 90.00, 112.83 degrees
Fractional coordinates of all 36 atoms:
O 0.789 0.637 0.047
Cs 0.781 0.251 0.986
Cs 0.219 0.249 0.486
Cs 0.300 0.322 0.284
Zr 0.745 0.800 0.122
Cs 0.818 0.819 0.310
Zr 0.745 0.300 0.378
Cs 0.345 0.774 0.417
O 0.426 0.897 0.690
Zr 0.255 0.200 0.878
Cs 0.345 0.274 0.083
O 0.000 0.518 0.667
O 0.426 0.397 0.810
Zr 0.255 0.700 0.622
Cs 0.219 0.749 0.014
O 0.211 0.863 0.547
O 0.411 0.533 0.595
Cs 0.182 0.681 0.810
O 0.789 0.137 0.453
O 0.000 0.018 0.833
Cs 0.655 0.226 0.583
O 0.574 0.103 0.310
Cs 0.655 0.726 0.917
Cs 0.300 0.822 0.216
Cs 0.818 0.319 0.190
Cs 0.700 0.178 0.784
Cs 0.781 0.751 0.514
O 0.211 0.363 0.953
Cs 0.700 0.678 0.716
O 0.411 0.033 0.905
O 0.000 0.482 0.333
O 0.574 0.603 0.190
O 0.589 0.467 0.405
Cs 0.182 0.181 0.690
O 0.000 0.982 0.167
O 0.589 0.967 0.095

Results
DOS(E_F)	0.00	states/eV/f.u.
crystal system	monoclinic
size of the total moment	0.003	μB/cell

***

Total DFT energy (no corrections)? In order: -8.258, -5.706, -4.626, -7.328, -4.163, -5.805 eV/atom.